# 1
POsPb2: relaxed, PBE.

## Properties
DOS(E_F), states/eV/f.u.: 2.8
Total moment, μB/cell: 0.00
Formation energy from the elements, eV per formula unit: 3.91

Cell lengths 5.1520, 5.1520, 5.1520 Å; angles 127.52, 127.52, 77.41 degrees
Closest atoms and distances in Å follow each position.
Sites, in units of the cell vectors:
P  0.5000  0.5000  0.0000  8 Pb 3.04, 4 Os 3.22
Os  0.0000  0.0000  0.0000  8 Pb 3.04, 4 P 3.22
Pb  0.7500  0.2500  0.5000  4 P 3.04, 4 Os 3.04, 4 Pb 3.22
Pb  0.2500  0.7500  0.5000  4 Os 3.04, 4 P 3.04, 4 Pb 3.22

---

# 2
POsPb2: relaxed, PBE.

## Properties
DOS(E_F), states/eV/f.u.: 4.0
Total moment, μB/cell: 0.00
Formation energy from the elements, eV per formula unit: 3.55

Cell lengths 8.1668, 8.1668, 8.1668 Å; angles 25.16, 25.16, 25.16 degrees
Closest atoms and distances in Å follow each position.
Sites, in units of the cell vectors:
P  0.0000  0.0000  0.0000  6 Pb 2.86
Os  0.5000  0.5000  0.5000  6 Pb 2.84
Pb  0.7508  0.7508  0.7508  3 Os 2.84, 3 P 2.86
Pb  0.2492  0.2492  0.2492  3 Os 2.84, 3 P 2.86

---

# 3
POs2Pb: relaxed, PBE.

## Properties
DOS(E_F), states/eV/f.u.: 5.9
Total moment, μB/cell: 0.00
Formation energy from the elements, eV per formula unit: 4.69

Cell lengths 4.5814, 4.5814, 4.5814 Å; angles 60.00, 60.00, 60.00 degrees
Closest atoms and distances in Å follow each position.
Sites, in units of the cell vectors:
P  0.5000  0.5000  0.5000  4 Os 2.81, 4 Pb 2.81
Os  0.0000  0.0000  0.0000  4 Os 2.81, 4 Pb 2.81
Os  0.7500  0.7500  0.7500  4 Os 2.81, 4 P 2.81
Pb  0.2500  0.2500  0.2500  4 P 2.81, 4 Os 2.81

---

# 4
POsPb2: relaxed, PBE.

## Properties
DOS(E_F), states/eV/f.u.: 2.2
Total moment, μB/cell: 0.00
Formation energy from the elements, eV per formula unit: 0.04

Cell lengths 7.5378, 7.5378, 7.5378 Å; angles 30.61, 30.61, 30.61 degrees
Closest atoms and distances in Å follow each position.
Sites, in units of the cell vectors:
P  0.7911  0.7911  0.7911  3 Os 2.30
Os  0.4573  0.4573  0.4573  3 P 2.30
Pb  0.0286  0.0286  0.0286  3 Os 3.08, 3 P 3.09
Pb  0.2199  0.2199  0.2199  3 P 3.08, 3 Os 3.09

---

# 5
POs2Pb: relaxed, PBE.

## Properties
DOS(E_F), states/eV/f.u.: 3.3
Total moment, μB/cell: 0.00
Formation energy from the elements, eV per formula unit: 2.01

Cell lengths 10.1828, 10.1828, 10.1828 Å; angles 16.61, 16.61, 16.61 degrees
Closest atoms and distances in Å follow each position.
Sites, in units of the cell vectors:
P  0.4746  0.4746  0.4746  3 Os 2.41
Os  0.0134  0.0134  0.0134  9 Os 2.74-2.94
Os  0.7513  0.7513  0.7513  3 P 2.41
Pb  0.2607  0.2607  0.2607  6 Pb 2.94, 3 Os 3.10

---

# 6
POs2Pb: relaxed, PBE.

## Properties
DOS(E_F), states/eV/f.u.: 1.5
Total moment, μB/cell: 0.00
Formation energy from the elements, eV per formula unit: 1.21

Cell lengths 4.3865, 4.3865, 6.0365 Å; angles 80.93, 80.93, 39.83 degrees
Closest atoms and distances in Å follow each position.
Sites, in units of the cell vectors:
P  0.4647  0.4647  0.6751  5 Os 2.33-2.34
Os  0.0267  0.0267  0.9468  2 P 2.34
Os  0.7499  0.7499  0.6517  3 P 2.33-2.34
Pb  0.2587  0.2587  0.2264  5 Os 2.76-2.96, 2 Pb 2.99

---

| no. | VASP energy (eV per atom) |
| --- | --- |
| 1 | -5.036 |
| 2 | -5.125 |
| 3 | -6.723 |
| 4 | -6.005 |
| 5 | -7.393 |
| 6 | -7.592 |